## Tl6GaHg (PBE)

Data for crystalline Tl6GaHg at its relaxed geometry.

Geometry as POSCAR:
```
Tl6GaHg
1.0
-2.925 -4.314 4.508
5.512 -1.975 -3.635
2.257 5.226 3.840
Tl Ga Hg
6 1 1
Cartesian
2.340 2.263 3.075 Tl
-0.619 -0.786 2.981 Tl
2.504 -3.327 1.638 Tl
1.765 -1.303 5.302 Tl
5.463 -0.278 1.732 Tl
3.080 0.240 -0.589 Tl
2.422 -0.532 2.356 Ga
0.000 0.000 0.000 Hg
```

ΔE_f: 0.07 eV per atom
space group: No. 12
crystal system: monoclinic
total magnetic moment: 0.00 μB/cell
D(E_F): 2.72 states/eV per cell